# 1
## TbGaO3 (GGA-PBEsol)

Data for an optimized crystal structure of TbGaO3.

Values from the calculation:
Raw formation energy ... -2789 meV per atom

Geometry as CIF:
```
data_TbGaO3
_chemical_formula_sum 'Tb4 Ga4 O12'
_space_group_name_H-M_alt 'P n m a'
_space_group_IT_number 62
_cell_length_a 5.547
_cell_length_b 7.545
_cell_length_c 5.253
_cell_angle_alpha 90.00
_cell_angle_beta 90.00
_cell_angle_gamma 90.00
loop_
_space_group_symop_operation_xyz
'x,y,z'
'-x,-y,-z'
'-x+1/2,-y,z+1/2'
'x+1/2,y,-z+1/2'
'x+1/2,-y+1/2,-z+1/2'
'-x+1/2,y+1/2,z+1/2'
'-x,y+1/2,-z'
'x,-y+1/2,z'
loop_
_atom_site_label
_atom_site_type_symbol
_atom_site_fract_x
_atom_site_fract_y
_atom_site_fract_z
Tb1 Tb 0.069 0.250 0.019
Ga1 Ga 0.000 0.000 0.500
O1 O 0.034 0.750 0.393
O2 O 0.197 0.555 0.805
```

***

# 2
## LiZrPbC2 (GGA-PBEsol)

Data for an optimized crystal structure of LiZrPbC2.

Values from the calculation:
DFT total energy ... -5.451 eV per atom

Geometry as CIF:
```
data_LiZrPbC2
_chemical_formula_sum 'Li1 Zr1 Pb1 C2'
_space_group_name_H-M_alt 'P 4/m m m'
_space_group_IT_number 123
_space_group_name_Hall '-P 4 2'
_cell_length_a 4.333
_cell_length_b 4.333
_cell_length_c 5.637
_cell_angle_alpha 90.00
_cell_angle_beta 90.00
_cell_angle_gamma 90.00
loop_
_atom_site_label
_atom_site_type_symbol
_atom_site_fract_x
_atom_site_fract_y
_atom_site_fract_z
Li1 Li 0.000 0.000 0.000
Zr1 Zr 0.500 0.500 0.500
Pb1 Pb 0.500 0.500 0.000
C1 C 0.000 0.500 0.500
```

***

# 3
## MnBeAu2 (GGA-PBEsol)

Data for an optimized crystal structure of MnBeAu2.

Values from the calculation:
DFT total energy ... -5.389 eV per atom

Geometry as CIF:
```
data_MnBeAu2
_chemical_formula_sum 'Mn1 Be1 Au2'
_space_group_name_H-M_alt 'P 4 m m'
_space_group_IT_number 99
_cell_length_a 2.802
_cell_length_b 2.802
_cell_length_c 6.942
_cell_angle_alpha 90.00
_cell_angle_beta 90.00
_cell_angle_gamma 90.00
loop_
_space_group_symop_operation_xyz
'x,y,z'
'-y,x,z'
'-x,-y,z'
'y,-x,z'
'-x,y,z'
'y,x,z'
'x,-y,z'
'-y,-x,z'
loop_
_atom_site_label
_atom_site_type_symbol
_atom_site_fract_x
_atom_site_fract_y
_atom_site_fract_z
Mn1 Mn 0.000 0.000 0.000
Be1 Be 0.500 0.500 0.803
Au1 Au 0.000 0.000 0.591
Au2 Au 0.500 0.500 0.270
```

***

# 4
## HfTe2PdAu (GGA-PBEsol)

Data for an optimized crystal structure of HfTe2PdAu.

Values from the calculation:
Raw formation energy ... 936 meV per atom

Geometry as CIF:
```
data_HfTe2PdAu
_chemical_formula_sum 'Hf1 Te2 Pd1 Au1'
_space_group_name_H-M_alt 'P 4/m m m'
_space_group_IT_number 123
_space_group_name_Hall '-P 4 2'
_cell_length_a 5.242
_cell_length_b 5.242
_cell_length_c 5.093
_cell_angle_alpha 90.00
_cell_angle_beta 90.00
_cell_angle_gamma 90.00
loop_
_atom_site_label
_atom_site_type_symbol
_atom_site_fract_x
_atom_site_fract_y
_atom_site_fract_z
Hf1 Hf 0.000 0.000 0.000
Te1 Te 0.000 0.500 0.500
Pd1 Pd 0.500 0.500 0.000
Au1 Au 0.000 0.000 0.500
```

***

# 5
## KYBi2Os (GGA-PBEsol)

Data for an optimized crystal structure of KYBi2Os.

Values from the calculation:
DFT total energy ... -4.024 eV per atom

Geometry as CIF:
```
data_KYBi2Os
_chemical_formula_sum 'K1 Y1 Bi2 Os1'
_space_group_name_H-M_alt 'P 4/m m m'
_space_group_IT_number 123
_space_group_name_Hall '-P 4 2'
_cell_length_a 5.694
_cell_length_b 5.694
_cell_length_c 6.031
_cell_angle_alpha 90.00
_cell_angle_beta 90.00
_cell_angle_gamma 90.00
loop_
_atom_site_label
_atom_site_type_symbol
_atom_site_fract_x
_atom_site_fract_y
_atom_site_fract_z
K1 K 0.000 0.000 0.000
Y1 Y 0.000 0.000 0.500
Bi1 Bi 0.000 0.500 0.500
Os1 Os 0.500 0.500 0.000
```

***

# 6
## IClO2 (GGA-PBEsol)

Data for an optimized crystal structure of IClO2.

Values from the calculation:
Raw formation energy ... 349 meV per atom

Geometry as CIF:
```
data_IClO2
_chemical_formula_sum 'I4 Cl4 O8'
_space_group_name_H-M_alt 'I 41/a m d'
_space_group_IT_number 141
_cell_length_a 6.304
_cell_length_b 6.304
_cell_length_c 9.476
_cell_angle_alpha 90.00
_cell_angle_beta 90.00
_cell_angle_gamma 90.00
loop_
_space_group_symop_operation_xyz
'x,y,z'
'-x,-y,-z'
'-y+1/4,x+3/4,z+1/4'
'y+1/4,-x+3/4,-z+1/4'
'-x+1/2,-y,z+1/2'
'x+1/2,y,-z+1/2'
'y+1/4,-x+1/4,z+3/4'
'-y+1/4,x+1/4,-z+3/4'
'x,-y,-z'
'-x,y,z'
'-y+1/4,-x+1/4,-z+3/4'
'y+1/4,x+1/4,z+3/4'
'-x+1/2,y,-z+1/2'
'x+1/2,-y,z+1/2'
'y+1/4,x+3/4,-z+1/4'
'-y+1/4,-x+3/4,z+1/4'
'x+1/2,y+1/2,z+1/2'
'-x+1/2,-y+1/2,-z+1/2'
'-y+3/4,x+1/4,z+3/4'
'y+3/4,-x+1/4,-z+3/4'
'-x,-y+1/2,z'
'x,y+1/2,-z'
'y+3/4,-x+3/4,z+1/4'
'-y+3/4,x+3/4,-z+1/4'
'x+1/2,-y+1/2,-z+1/2'
'-x+1/2,y+1/2,z+1/2'
'-y+3/4,-x+3/4,-z+1/4'
'y+3/4,x+3/4,z+1/4'
'-x,y+1/2,-z'
'x,-y+1/2,z'
'y+3/4,x+1/4,-z+3/4'
'-y+3/4,-x+1/4,z+3/4'
loop_
_atom_site_label
_atom_site_type_symbol
_atom_site_fract_x
_atom_site_fract_y
_atom_site_fract_z
I1 I 0.000 0.250 0.375
Cl1 Cl 0.000 0.250 0.875
O1 O 0.000 0.000 0.500
```

***

# 7
## K2OsCl6 (GGA-PBEsol)

Data for an optimized crystal structure of K2OsCl6.

Values from the calculation:
Raw formation energy ... -1146 meV per atom

Geometry as CIF:
```
data_K2OsCl6
_chemical_formula_sum 'K8 Os4 Cl24'
_space_group_name_H-M_alt 'F m -3 m'
_space_group_IT_number 225
_space_group_name_Hall '-F 4 2 3'
_cell_length_a 9.651
_cell_length_b 9.651
_cell_length_c 9.651
_cell_angle_alpha 90.00
_cell_angle_beta 90.00
_cell_angle_gamma 90.00
loop_
_atom_site_label
_atom_site_type_symbol
_atom_site_fract_x
_atom_site_fract_y
_atom_site_fract_z
K1 K 0.250 0.250 0.250
Os1 Os 0.000 0.000 0.000
Cl1 Cl 0.000 0.000 0.241
```

***

# 8
## MnPtOF2 (GGA-PBEsol)

Data for an optimized crystal structure of MnPtOF2.

Values from the calculation:
ΔE to the lowest computed polymorph ... 383.4 meV/atom
Raw formation energy ... -300 meV per atom

Geometry as CIF:
```
data_MnPtOF2
_chemical_formula_sum 'Mn1 Pt1 O1 F2'
_space_group_name_H-M_alt 'P 4/m m m'
_space_group_IT_number 123
_space_group_name_Hall '-P 4 2'
_cell_length_a 4.229
_cell_length_b 4.229
_cell_length_c 3.948
_cell_angle_alpha 90.00
_cell_angle_beta 90.00
_cell_angle_gamma 90.00
loop_
_atom_site_label
_atom_site_type_symbol
_atom_site_fract_x
_atom_site_fract_y
_atom_site_fract_z
Mn1 Mn 0.000 0.000 0.000
Pt1 Pt 0.500 0.500 0.500
O1 O 0.500 0.500 0.000
F1 F 0.000 0.500 0.500
```

***

# 9
## KTlCo4Se4 (GGA-PBEsol)

Data for an optimized crystal structure of KTlCo4Se4.

Values from the calculation:
Raw formation energy ... -369 meV per atom

Geometry as CIF:
```
data_KTlCo4Se4
_chemical_formula_sum 'K1 Tl1 Co4 Se4'
_space_group_name_H-M_alt 'P 4/m m m'
_space_group_IT_number 123
_space_group_name_Hall '-P 4 2'
_cell_length_a 3.788
_cell_length_b 3.788
_cell_length_c 13.069
_cell_angle_alpha 90.00
_cell_angle_beta 90.00
_cell_angle_gamma 90.00
loop_
_atom_site_label
_atom_site_type_symbol
_atom_site_fract_x
_atom_site_fract_y
_atom_site_fract_z
K1 K 0.000 0.000 0.000
Tl1 Tl 0.500 0.500 0.500
Co1 Co 0.000 0.500 0.249
Se1 Se 0.000 0.000 0.351
Se2 Se 0.500 0.500 0.149
```

***

# 10
## KBe2Zn (GGA-PBEsol)

Data for an optimized crystal structure of KBe2Zn.

Values from the calculation:
DFT total energy ... -2.007 eV per atom

Geometry as CIF:
```
data_KBe2Zn
_chemical_formula_sum 'K4 Be8 Zn4'
_space_group_name_H-M_alt 'I 41/a m d'
_space_group_IT_number 141
_cell_length_a 4.543
_cell_length_b 4.543
_cell_length_c 16.244
_cell_angle_alpha 90.00
_cell_angle_beta 90.00
_cell_angle_gamma 90.00
loop_
_space_group_symop_operation_xyz
'x,y,z'
'-x,-y,-z'
'-y+1/4,x+3/4,z+1/4'
'y+1/4,-x+3/4,-z+1/4'
'-x+1/2,-y,z+1/2'
'x+1/2,y,-z+1/2'
'y+1/4,-x+1/4,z+3/4'
'-y+1/4,x+1/4,-z+3/4'
'x,-y,-z'
'-x,y,z'
'-y+1/4,-x+1/4,-z+3/4'
'y+1/4,x+1/4,z+3/4'
'-x+1/2,y,-z+1/2'
'x+1/2,-y,z+1/2'
'y+1/4,x+3/4,-z+1/4'
'-y+1/4,-x+3/4,z+1/4'
'x+1/2,y+1/2,z+1/2'
'-x+1/2,-y+1/2,-z+1/2'
'-y+3/4,x+1/4,z+3/4'
'y+3/4,-x+1/4,-z+3/4'
'-x,-y+1/2,z'
'x,y+1/2,-z'
'y+3/4,-x+3/4,z+1/4'
'-y+3/4,x+3/4,-z+1/4'
'x+1/2,-y+1/2,-z+1/2'
'-x+1/2,y+1/2,z+1/2'
'-y+3/4,-x+3/4,-z+1/4'
'y+3/4,x+3/4,z+1/4'
'-x,y+1/2,-z'
'x,-y+1/2,z'
'y+3/4,x+1/4,-z+3/4'
'-y+3/4,-x+1/4,z+3/4'
loop_
_atom_site_label
_atom_site_type_symbol
_atom_site_fract_x
_atom_site_fract_y
_atom_site_fract_z
K1 K 0.000 0.250 0.375
Be1 Be 0.000 0.000 0.000
Zn1 Zn 0.000 0.250 0.875
```

***

# 11
## Ca2AlPt2 (GGA-PBEsol)

Data for an optimized crystal structure of Ca2AlPt2.

Values from the calculation:
DFT total energy ... -5.429 eV per atom

Geometry as CIF:
```
data_Ca2AlPt2
_chemical_formula_sum 'Ca8 Al4 Pt8'
_space_group_name_H-M_alt 'C 1 2/c 1'
_space_group_IT_number 15
_cell_length_a 9.764
_cell_length_b 5.676
_cell_length_c 7.683
_cell_angle_alpha 90.00
_cell_angle_beta 102.08
_cell_angle_gamma 90.00
loop_
_space_group_symop_operation_xyz
'x,y,z'
'-x,-y,-z'
'-x,y,-z+1/2'
'x,-y,z+1/2'
'x+1/2,y+1/2,z'
'-x+1/2,-y+1/2,-z'
'-x+1/2,y+1/2,-z+1/2'
'x+1/2,-y+1/2,z+1/2'
loop_
_atom_site_label
_atom_site_type_symbol
_atom_site_fract_x
_atom_site_fract_y
_atom_site_fract_z
Ca1 Ca 0.149 0.134 0.148
Al1 Al 0.000 0.386 0.750
Pt1 Pt 0.130 0.366 0.504
```

***

# 12
## BaBeAs2 (GGA-PBEsol)

Data for an optimized crystal structure of BaBeAs2.

Values from the calculation:
DFT total energy ... -4.170 eV per atom

Geometry as CIF:
```
data_BaBeAs2
_chemical_formula_sum 'Ba1 Be1 As2'
_space_group_name_H-M_alt 'P 4/m m m'
_space_group_IT_number 123
_space_group_name_Hall '-P 4 2'
_cell_length_a 3.515
_cell_length_b 3.515
_cell_length_c 6.785
_cell_angle_alpha 90.00
_cell_angle_beta 90.00
_cell_angle_gamma 90.00
loop_
_atom_site_label
_atom_site_type_symbol
_atom_site_fract_x
_atom_site_fract_y
_atom_site_fract_z
Ba1 Ba 0.000 0.000 0.000
Be1 Be 0.000 0.000 0.500
As1 As 0.500 0.500 0.324
```

***

# 13
## SiNi2Ru (GGA-PBEsol)

Data for an optimized crystal structure of SiNi2Ru.

Values from the calculation:
Raw formation energy ... -316 meV per atom

Geometry as CIF:
```
data_SiNi2Ru
_chemical_formula_sum 'Si2 Ni4 Ru2'
_space_group_name_H-M_alt 'I m m m'
_space_group_IT_number 71
_space_group_name_Hall '-I 2 2'
_cell_length_a 2.764
_cell_length_b 4.038
_cell_length_c 8.163
_cell_angle_alpha 90.00
_cell_angle_beta 90.00
_cell_angle_gamma 90.00
loop_
_atom_site_label
_atom_site_type_symbol
_atom_site_fract_x
_atom_site_fract_y
_atom_site_fract_z
Si1 Si 0.000 0.000 0.000
Ni1 Ni 0.000 0.500 0.272
Ru1 Ru 0.000 0.000 0.500
```

***

# 14
## LiMnSiO4 (GGA-PBEsol)

Data for an optimized crystal structure of LiMnSiO4.

Values from the calculation:
ΔE to the lowest computed polymorph ... 26.9 meV/atom
Raw formation energy ... -2215 meV per atom

Geometry as CIF:
```
data_LiMnSiO4
_chemical_formula_sum 'Li4 Mn4 Si4 O16'
_space_group_name_H-M_alt 'C m c m'
_space_group_IT_number 63
_space_group_name_Hall '-C 2c 2'
_cell_length_a 5.443
_cell_length_b 8.021
_cell_length_c 6.209
_cell_angle_alpha 90.00
_cell_angle_beta 90.00
_cell_angle_gamma 90.00
loop_
_atom_site_label
_atom_site_type_symbol
_atom_site_fract_x
_atom_site_fract_y
_atom_site_fract_z
Li1 Li 0.000 0.173 0.250
Mn1 Mn 0.000 0.500 0.000
Si1 Si 0.000 0.154 0.750
O1 O 0.000 0.269 0.534
O2 O 0.241 0.026 0.750
```

***

# 15
## ScMn2Ir (GGA-PBEsol)

Data for an optimized crystal structure of ScMn2Ir.

Values from the calculation:
ΔE to the lowest computed polymorph ... 118.8 meV/atom

Geometry as CIF:
```
data_ScMn2Ir
_chemical_formula_sum 'Sc1 Mn2 Ir1'
_space_group_name_H-M_alt 'P m m m'
_space_group_IT_number 47
_cell_length_a 2.758
_cell_length_b 3.874
_cell_length_c 5.355
_cell_angle_alpha 90.00
_cell_angle_beta 90.00
_cell_angle_gamma 90.00
loop_
_space_group_symop_operation_xyz
'x,y,z'
'-x,-y,-z'
'-x,-y,z'
'x,y,-z'
'x,-y,-z'
'-x,y,z'
'-x,y,-z'
'x,-y,z'
loop_
_atom_site_label
_atom_site_type_symbol
_atom_site_fract_x
_atom_site_fract_y
_atom_site_fract_z
Sc1 Sc 0.000 0.000 0.000
Mn1 Mn 0.500 0.500 0.275
Ir1 Ir 0.000 0.000 0.500
```

***

# 16
## KYGeS4 (GGA-PBEsol)

Data for an optimized crystal structure of KYGeS4.

Values from the calculation:
Raw formation energy ... -1283 meV per atom

Geometry as CIF:
```
data_KYGeS4
_chemical_formula_sum 'K2 Y2 Ge2 S8'
_space_group_name_H-M_alt 'P 1 21 1'
_space_group_IT_number 4
_cell_length_a 6.427
_cell_length_b 6.582
_cell_length_c 8.587
_cell_angle_alpha 90.00
_cell_angle_beta 107.63
_cell_angle_gamma 90.00
loop_
_space_group_symop_operation_xyz
'x,y,z'
'-x,y+1/2,-z'
loop_
_atom_site_label
_atom_site_type_symbol
_atom_site_fract_x
_atom_site_fract_y
_atom_site_fract_z
K1 K 0.237 0.000 0.437
Y1 Y 0.272 0.016 0.949
Ge1 Ge 0.276 0.481 0.174
S1 S 0.064 0.411 0.924
S2 S 0.071 0.479 0.336
S3 S 0.470 0.741 0.780
S4 S 0.486 0.755 0.202
```

***

# 17
## SiSb2Pt (GGA-PBEsol)

Data for an optimized crystal structure of SiSb2Pt.

Values from the calculation:
Raw formation energy ... -12 meV per atom

Geometry as CIF:
```
data_SiSb2Pt
_chemical_formula_sum 'Si1 Sb2 Pt1'
_space_group_name_H-M_alt 'P 4 m m'
_space_group_IT_number 99
_cell_length_a 3.389
_cell_length_b 3.389
_cell_length_c 7.188
_cell_angle_alpha 90.00
_cell_angle_beta 90.00
_cell_angle_gamma 90.00
loop_
_space_group_symop_operation_xyz
'x,y,z'
'-y,x,z'
'-x,-y,z'
'y,-x,z'
'-x,y,z'
'y,x,z'
'x,-y,z'
'-y,-x,z'
loop_
_atom_site_label
_atom_site_type_symbol
_atom_site_fract_x
_atom_site_fract_y
_atom_site_fract_z
Si1 Si 0.000 0.000 0.000
Sb1 Sb 0.000 0.000 0.385
Sb2 Sb 0.500 0.500 0.763
Pt1 Pt 0.500 0.500 0.147
```

***

# 18
## Y2FeS2 (GGA-PBEsol)

Data for an optimized crystal structure of Y2FeS2.

Values from the calculation:
Raw formation energy ... -563 meV per atom

Geometry as CIF:
```
data_Y2FeS2
_chemical_formula_sum 'Y4 Fe2 S4'
_space_group_name_H-M_alt 'I 4/m m m'
_space_group_IT_number 139
_space_group_name_Hall '-I 4 2'
_cell_length_a 4.548
_cell_length_b 4.548
_cell_length_c 12.313
_cell_angle_alpha 90.00
_cell_angle_beta 90.00
_cell_angle_gamma 90.00
loop_
_atom_site_label
_atom_site_type_symbol
_atom_site_fract_x
_atom_site_fract_y
_atom_site_fract_z
Y1 Y 0.000 0.000 0.143
Fe1 Fe 0.000 0.000 0.500
S1 S 0.000 0.500 0.250
```

***

# 19
## Na3ScB2O6 (GGA-PBEsol)

Data for an optimized crystal structure of Na3ScB2O6.

Values from the calculation:
Raw formation energy ... -2481 meV per atom

Geometry as CIF:
```
data_Na3ScB2O6
_chemical_formula_sum 'Na6 Sc2 B4 O12'
_space_group_name_H-M_alt 'P 1 21/c 1'
_space_group_IT_number 14
_cell_length_a 5.074
_cell_length_b 9.012
_cell_length_c 6.979
_cell_angle_alpha 90.00
_cell_angle_beta 123.42
_cell_angle_gamma 90.00
loop_
_space_group_symop_operation_xyz
'x,y,z'
'-x,-y,-z'
'-x,y+1/2,-z+1/2'
'x,-y+1/2,z+1/2'
loop_
_atom_site_label
_atom_site_type_symbol
_atom_site_fract_x
_atom_site_fract_y
_atom_site_fract_z
Na1 Na 0.000 0.000 0.000
Na2 Na 0.264 0.169 0.763
Sc1 Sc 0.500 0.000 0.500
B1 B 0.226 0.669 0.238
O1 O 0.067 0.107 0.347
O2 O 0.267 0.681 0.790
O3 O 0.477 0.583 0.275
```

***

# 20
## YTePb2 (GGA-PBEsol)

Data for an optimized crystal structure of YTePb2.

Values from the calculation:
Raw formation energy ... -472 meV per atom

Geometry as CIF:
```
data_YTePb2
_chemical_formula_sum 'Y2 Te2 Pb4'
_space_group_name_H-M_alt 'C m m m'
_space_group_IT_number 65
_space_group_name_Hall '-C 2 2'
_cell_length_a 6.093
_cell_length_b 6.241
_cell_length_c 6.281
_cell_angle_alpha 90.00
_cell_angle_beta 90.00
_cell_angle_gamma 90.00
loop_
_atom_site_label
_atom_site_type_symbol
_atom_site_fract_x
_atom_site_fract_y
_atom_site_fract_z
Y1 Y 0.000 0.000 0.000
Te1 Te 0.000 0.500 0.000
Pb1 Pb 0.246 0.000 0.500
```